Entry 1:
{"formula": "ReOs2Rh", "functional": "PBE", "state": "optimized geometry", "dos_at_fermi_per_ev_atom": 1.01, "magmom_total_mub_per_fu": 0.000, "e_tot_ev_per_cell": -40.5, "polymorph_energy_kj_per_mol_fu": 157, "formation_energy_ev_per_atom": 0.446, "lattice": [[2.708, 0.000, 0.000], [0.000, 4.577, 0.000], [-0.285, 0.000, 4.777]], "species": ["Re", "Os", "Os", "Rh"], "fractional_positions": [[0.000, 0.000, 0.000], [0.309, 0.500, 0.743], [0.691, 0.500, 0.257], [0.500, 0.000, 0.500]]}

***

Entry 2:
{"formula": "Mg5In2Sn", "functional": "PBE", "state": "optimized geometry", "dos_at_fermi_per_ev_atom": 0.44, "magmom_total_mub_per_fu": 0.000, "e_tot_ev_per_cell": -36.5, "polymorph_energy_kj_per_mol_fu": 2, "formation_energy_ev_per_atom": -0.101, "lattice": [[4.612, 0.000, 0.000], [0.000, 4.612, 0.000], [0.000, 0.000, 17.352]], "species": ["Mg", "Mg", "Mg", "Mg", "Mg", "Mg", "Mg", "Mg", "Mg", "Mg", "In", "In", "In", "In", "Sn", "Sn"], "fractional_positions": [[0.000, 0.000, 0.000], [0.000, 0.500, 0.125], [0.000, 0.500, 0.375], [0.000, 0.500, 0.625], [0.000, 0.500, 0.875], [0.500, 0.000, 0.125], [0.500, 0.000, 0.375], [0.500, 0.000, 0.625], [0.500, 0.000, 0.875], [0.500, 0.500, 0.500], [0.000, 0.000, 0.246], [0.000, 0.000, 0.754], [0.500, 0.500, 0.254], [0.500, 0.500, 0.746], [0.000, 0.000, 0.500], [0.500, 0.500, 0.000]]}

***

Entry 3:
{"formula": "LiIn2MoN4", "functional": "PBE", "state": "optimized geometry", "dos_at_fermi_per_ev_atom": 0.39, "magmom_total_mub_per_fu": 0.000, "e_tot_ev_per_cell": -105.0, "lattice": [[4.965, 0.000, 0.000], [0.000, 4.965, 0.000], [0.000, 0.000, 9.645]], "species": ["Li", "Li", "In", "In", "In", "In", "Mo", "Mo", "N", "N", "N", "N", "N", "N", "N", "N"], "fractional_positions": [[0.000, 0.000, 0.000], [0.500, 0.500, 0.500], [0.000, 0.500, 0.250], [0.000, 0.500, 0.750], [0.500, 0.000, 0.250], [0.500, 0.000, 0.750], [0.000, 0.000, 0.500], [0.500, 0.500, 0.000], [0.223, 0.223, 0.387], [0.223, 0.777, 0.613], [0.277, 0.277, 0.887], [0.277, 0.723, 0.113], [0.723, 0.277, 0.113], [0.723, 0.723, 0.887], [0.777, 0.223, 0.613], [0.777, 0.777, 0.387]]}

***

Entry 4:
{"formula": "SbPtPb2", "functional": "PBE", "state": "optimized geometry", "dos_at_fermi_per_ev_atom": 0.44, "magmom_total_mub_per_fu": 0.000, "e_tot_ev_per_cell": -35.9, "lattice": [[9.063, 0.000, 0.000], [0.000, 4.036, 0.000], [-2.686, 0.000, 6.102]], "species": ["Sb", "Sb", "Pt", "Pt", "Pb", "Pb", "Pb", "Pb"], "fractional_positions": [[0.000, 0.000, 0.000], [0.500, 0.500, 0.000], [0.193, 0.500, 0.973], [0.693, 0.000, 0.973], [0.180, 0.000, 0.649], [0.373, 0.000, 0.327], [0.680, 0.500, 0.649], [0.873, 0.500, 0.327]]}

***

Entry 5:
{"formula": "Zr6AlNi", "functional": "PBE", "state": "optimized geometry", "dos_at_fermi_per_ev_atom": 1.40, "magmom_total_mub_per_fu": 0.006, "e_tot_ev_per_cell": -56.1, "polymorph_energy_kj_per_mol_fu": 209, "formation_energy_ev_per_atom": 0.585, "lattice": [[4.089, 0.000, 0.000], [0.000, 4.089, 0.000], [0.000, 0.000, 11.136]], "species": ["Zr", "Zr", "Zr", "Zr", "Zr", "Zr", "Al", "Ni"], "fractional_positions": [[0.000, 0.000, 0.114], [0.000, 0.000, 0.886], [0.000, 0.500, 0.323], [0.000, 0.500, 0.677], [0.500, 0.000, 0.323], [0.500, 0.000, 0.677], [0.500, 0.500, 0.500], [0.500, 0.500, 0.000]]}

***

Entry 6:
{"formula": "TbU2MnC4", "functional": "PBE", "state": "optimized geometry", "dos_at_fermi_per_ev_atom": 1.08, "magmom_total_mub_per_fu": 0.000, "e_tot_ev_per_cell": -148.1, "formation_energy_ev_per_atom": -0.098, "lattice": [[1.761, -5.573, 0.000], [1.761, 5.573, 0.000], [0.000, 0.000, 11.595]], "species": ["Tb", "Tb", "U", "U", "U", "U", "Mn", "Mn", "C", "C", "C", "C", "C", "C", "C", "C"], "fractional_positions": [[0.109, 0.891, 0.750], [0.891, 0.109, 0.250], [0.369, 0.631, 0.549], [0.369, 0.631, 0.951], [0.631, 0.369, 0.049], [0.631, 0.369, 0.451], [0.156, 0.844, 0.250], [0.844, 0.156, 0.750], [0.000, 0.000, 0.000], [0.000, 0.000, 0.500], [0.259, 0.741, 0.125], [0.259, 0.741, 0.375], [0.425, 0.575, 0.750], [0.575, 0.425, 0.250], [0.741, 0.259, 0.625], [0.741, 0.259, 0.875]]}

***

Entry 7:
{"formula": "SiRh2Br", "functional": "PBE", "state": "optimized geometry", "dos_at_fermi_per_ev_atom": 0.44, "magmom_total_mub_per_fu": 0.000, "e_tot_ev_per_cell": -22.6, "polymorph_energy_kj_per_mol_fu": 44, "lattice": [[2.960, 0.000, 0.000], [0.000, 2.960, 0.000], [0.000, 0.000, 7.229]], "species": ["Si", "Rh", "Rh", "Br"], "fractional_positions": [[0.000, 0.000, 0.000], [0.500, 0.500, 0.189], [0.500, 0.500, 0.811], [0.000, 0.000, 0.500]]}

***

Entry 8:
{"formula": "NaSrF", "functional": "PBE", "state": "optimized geometry", "dos_at_fermi_per_ev_atom": 0.46, "magmom_total_mub_per_fu": 0.000, "e_tot_ev_per_cell": -19.9, "polymorph_energy_kj_per_mol_fu": 25, "lattice": [[3.620, 0.000, 0.000], [0.000, 3.620, 0.000], [0.000, 0.000, 14.549]], "species": ["Na", "Na", "Sr", "Sr", "F", "F"], "fractional_positions": [[0.000, 0.000, 0.000], [0.500, 0.500, 0.500], [0.000, 0.000, 0.730], [0.500, 0.500, 0.230], [0.000, 0.000, 0.238], [0.500, 0.500, 0.738]]}